Here is Hf2ThSc after structural relaxation from Alexandria via LeMat-Bulk. Energies are from PBE.

Summary:
* formation enthalpy at 0 K: 170.9 meV/atom
* total magnetization: 0.00 μB per formula unit
* calculated volume: 301.7 Å³ per cell

```
data_Hf2ThSc
_symmetry_space_group_name_H-M 'R -3 m'
_symmetry_Int_Tables_number 166
_symmetry_space_group_name_Hall '-R 3 2"'
_cell_length_a 3.3143
_cell_length_b 3.3143
_cell_length_c 31.7183
_cell_angle_alpha 90.00
_cell_angle_beta 90.00
_cell_angle_gamma 120.00
loop_
_atom_site_label
_atom_site_fract_x
_atom_site_fract_y
_atom_site_fract_z
Hf1 0.0000 0.0000 0.2480
Th1 0.0000 0.0000 0.0000
Sc1 0.0000 0.0000 0.5000
```